# Sr2DySb4Pt3

Crystalline Sr2DySb4Pt3 at its relaxed geometry (PBE, Alexandria via LeMat-Bulk). Values from VASP.

Summary:
For the uncorrected formation energy, the calculation gives -0.844 eV/atom. The crystal system is tetragonal.

```
&SYSTEM
  ibrav = 0, nat = 10, ntyp = 4
/
ATOMIC_SPECIES
Sr 87.62 Sr.upf
Dy 162.50 Dy.upf
Sb 121.76 Sb.upf
Pt 195.08 Pt.upf
CELL_PARAMETERS angstrom
4.652 0.000 0.000
0.000 4.652 0.000
0.000 0.000 11.882
ATOMIC_POSITIONS angstrom
Sr 0.000 2.326 2.807
Sr 2.326 0.000 9.075
Dy 0.000 0.000 5.941
Sb 0.000 0.000 0.000
Sb 0.000 2.326 7.762
Sb 2.326 0.000 4.120
Sb 2.326 2.326 0.000
Pt 0.000 2.326 10.455
Pt 2.326 0.000 1.427
Pt 2.326 2.326 5.941
```

# Tb2BPd4Pt2

Crystalline Tb2BPd4Pt2 at its relaxed geometry (PBE, Alexandria via LeMat-Bulk). Values from VASP.

Summary:
The calculation puts the formation energy at -0.919 eV per atom. The crystal system is tetragonal.

```
&SYSTEM
  ibrav = 0, nat = 9, ntyp = 4
/
ATOMIC_SPECIES
Tb 158.93 Tb.upf
B 10.81 B.upf
Pd 106.42 Pd.upf
Pt 195.08 Pt.upf
CELL_PARAMETERS angstrom
-2.977 2.977 4.232
2.977 -2.977 4.232
2.977 2.977 -4.232
ATOMIC_POSITIONS angstrom
Tb 2.977 0.000 2.116
Tb 0.000 2.977 2.116
B 0.000 0.000 0.000
Pd 1.545 1.545 0.000
Pd 1.432 -1.432 4.232
Pd -1.432 1.432 4.232
Pd 1.432 1.432 4.232
Pt 0.000 0.000 2.112
Pt 0.000 0.000 6.353
```

# BaNdIn2

Crystalline BaNdIn2 at its relaxed geometry (PBE, Alexandria via LeMat-Bulk). Values from VASP.

Summary:
The calculation puts the formation energy at -0.208 eV per atom. The crystal system is trigonal.

```
&SYSTEM
  ibrav = 0, nat = 12, ntyp = 3
/
ATOMIC_SPECIES
Ba 137.33 Ba.upf
Nd 144.24 Nd.upf
In 114.82 In.upf
CELL_PARAMETERS angstrom
3.992 0.000 0.000
-1.996 3.457 0.000
0.000 0.000 31.278
ATOMIC_POSITIONS angstrom
Ba 0.000 0.000 0.000
Ba 0.000 2.305 20.852
Ba 1.996 1.152 10.426
Nd 0.000 0.000 15.639
Nd 0.000 2.305 5.213
Nd 1.996 1.152 26.065
In 0.000 0.000 7.630
In 0.000 0.000 23.648
In 0.000 2.305 13.222
In 0.000 2.305 28.482
In 1.996 1.152 2.796
In 1.996 1.152 18.056
```

# LiNdEr

Crystalline LiNdEr at its relaxed geometry (PBE, Alexandria via LeMat-Bulk). Values from VASP.

Summary:
The calculation puts the formation energy at 0.108 eV per atom. The crystal system is trigonal. Its relative energy among the computed polymorphs is 24 meV per atom.

```
&SYSTEM
  ibrav = 0, nat = 3, ntyp = 3
/
ATOMIC_SPECIES
Li 6.94 Li.upf
Nd 144.24 Nd.upf
Er 167.26 Er.upf
CELL_PARAMETERS angstrom
3.512 0.000 0.000
-1.756 3.041 0.000
0.000 0.000 8.382
ATOMIC_POSITIONS angstrom
Li 0.000 0.000 0.000
Nd 0.000 2.028 5.560
Er 1.756 1.014 2.699
```